The following is a PBE calculation of an optimized crystal structure of Pm4CoSn8, from the Alexandria database.

Formation energy from the elements   -596 meV per atom
Crystal system   orthorhombic
Total energy   -65.88 eV/cell

Structure (CIF):
```
data_Pm4CoSn8
_chemical_formula_sum 'Pm4 Co1 Sn8'
_space_group_name_H-M_alt 'P m m 2'
_space_group_IT_number 25
_cell_length_a 4.456
_cell_length_b 4.523
_cell_length_c 16.870
_cell_angle_alpha 90.00
_cell_angle_beta 90.00
_cell_angle_gamma 90.00
loop_
_space_group_symop_operation_xyz
'x,y,z'
'-x,-y,z'
'-x,y,z'
'x,-y,z'
loop_
_atom_site_label
_atom_site_type_symbol
_atom_site_fract_x
_atom_site_fract_y
_atom_site_fract_z
Pm1 Pm 0.000 0.000 0.000
Pm2 Pm 0.000 0.500 0.495
Pm3 Pm 0.500 0.000 0.793
Pm4 Pm 0.500 0.500 0.297
Co1 Co 0.000 0.500 0.704
Sn1 Sn 0.000 0.000 0.333
Sn2 Sn 0.000 0.000 0.637
Sn3 Sn 0.000 0.500 0.148
Sn4 Sn 0.000 0.500 0.850
Sn5 Sn 0.500 0.000 0.150
Sn6 Sn 0.500 0.000 0.456
Sn7 Sn 0.500 0.500 0.636
Sn8 Sn 0.500 0.500 0.968
```